1.
TbTmMnRu | GGA-PBE | optimized geometry Values from VASP.

Values from the calculation:
Energy of formation from the pure elements = -97.8 meV per atom
Space-group type = F-43m
Crystal system = cubic

```
&SYSTEM
  ibrav = 0, nat = 4, ntyp = 4
/
ATOMIC_SPECIES
Tm 168.93 Tm.upf
Tb 158.93 Tb.upf
Ru 101.07 Ru.upf
Mn 54.94 Mn.upf
ATOMIC_POSITIONS crystal
Tm 0.000 0.000 0.000
Tb 0.500 0.500 0.500
Ru 0.250 0.250 0.250
Mn 0.750 0.750 0.750
CELL_PARAMETERS angstrom
-3.777 -2.508 1.814
-2.391 -3.191 -2.818
0.426 -4.792 0.835
```

=====

2.
MnTcRu4 | GGA-PBE | optimized geometry Values from VASP.

Values from the calculation:
Energy of formation from the pure elements = 85.8 meV per atom
Space-group type = P-1
Polymorph energy (0 for the lowest one) = 0 meV/atom
Crystal system = triclinic

```
&SYSTEM
  ibrav = 0, nat = 12, ntyp = 3
/
ATOMIC_SPECIES
Ru 101.07 Ru.upf
Mn 54.94 Mn.upf
Tc 98.00 Tc.upf
ATOMIC_POSITIONS crystal
Ru 0.125 0.868 0.120
Ru 0.457 0.215 0.124
Ru 0.875 0.132 0.880
Ru 0.372 0.622 0.369
Ru 0.628 0.378 0.631
Mn 0.789 0.543 0.124
Ru 0.543 0.785 0.876
Tc 0.042 0.292 0.376
Ru 0.709 0.954 0.371
Ru 0.291 0.046 0.629
Mn 0.211 0.457 0.876
Tc 0.958 0.708 0.624
CELL_PARAMETERS angstrom
-0.759 2.938 -3.560
3.040 -4.168 -4.073
-5.445 -2.023 1.527
```

=====

3.
MnTc2Ru6 | GGA-PBE | optimized geometry Values from VASP.

Values from the calculation:
Energy of formation from the pure elements = 208.2 meV per atom
Space-group type = C2/c
Crystal system = monoclinic

```
&SYSTEM
  ibrav = 0, nat = 18, ntyp = 3
/
ATOMIC_SPECIES
Ru 101.07 Ru.upf
Tc 98.00 Tc.upf
Mn 54.94 Mn.upf
ATOMIC_POSITIONS crystal
Ru 0.002 0.655 0.337
Ru 0.998 0.345 0.663
Ru 0.207 0.389 0.975
Ru 0.779 0.996 0.739
Ru 0.502 0.337 0.655
Tc 0.909 0.290 0.358
Ru 0.293 0.025 0.611
Ru 0.498 0.663 0.345
Ru 0.221 0.004 0.261
Tc 0.091 0.710 0.642
Ru 0.721 0.261 0.004
Tc 0.591 0.642 0.710
Ru 0.707 0.975 0.389
Tc 0.409 0.358 0.290
Ru 0.793 0.611 0.025
Mn 0.750 0.919 0.081
Mn 0.250 0.081 0.919
Ru 0.279 0.739 0.996
CELL_PARAMETERS angstrom
-4.509 -0.382 2.486
1.303 -5.967 4.247
2.137 1.652 6.932
```

=====

4.
MnTcRu3 | GGA-PBE | optimized geometry Values from VASP.

Values from the calculation:
Energy of formation from the pure elements = 1449.5 meV per atom
Space-group type = Pm-3m
Polymorph energy (0 for the lowest one) = 1232 meV/atom
Crystal system = cubic

```
&SYSTEM
  ibrav = 0, nat = 5, ntyp = 3
/
ATOMIC_SPECIES
Mn 54.94 Mn.upf
Ru 101.07 Ru.upf
Tc 98.00 Tc.upf
ATOMIC_POSITIONS crystal
Mn 0.000 0.000 0.000
Ru 0.000 0.500 0.000
Tc 0.500 0.500 0.500
Ru 0.000 0.000 0.500
Ru 0.500 0.000 0.000
CELL_PARAMETERS angstrom
4.358 0.000 0.000
0.000 4.358 0.000
0.000 0.000 4.358
```

=====

5.
MnTcRu3 | GGA-PBE | optimized geometry Values from VASP.

Values from the calculation:
Energy of formation from the pure elements = 217.0 meV per atom
Space-group type = P-1
Polymorph energy (0 for the lowest one) = 0 meV/atom
Crystal system = triclinic

```
&SYSTEM
  ibrav = 0, nat = 10, ntyp = 3
/
ATOMIC_SPECIES
Ru 101.07 Ru.upf
Mn 54.94 Mn.upf
Tc 98.00 Tc.upf
ATOMIC_POSITIONS crystal
Ru 0.508 0.717 0.011
Mn 0.993 0.651 0.742
Ru 0.232 0.360 0.207
Ru 0.477 0.584 0.473
Ru 0.158 0.315 0.636
Ru 0.754 0.942 0.277
Tc 0.654 0.354 0.963
Ru 0.827 0.986 0.848
Tc 0.331 0.948 0.521
Mn 0.993 0.151 0.742
CELL_PARAMETERS angstrom
1.081 -5.831 -1.699
-2.535 -7.237 3.847
-4.317 2.695 0.344
```

=====

6.
MnTc3Ru | GGA-PBE | optimized geometry Values from VASP.

Values from the calculation:
Energy of formation from the pure elements = 1312.9 meV per atom
Space-group type = Pm-3m
Polymorph energy (0 for the lowest one) = 0 meV/atom
Crystal system = cubic

```
&SYSTEM
  ibrav = 0, nat = 5, ntyp = 3
/
ATOMIC_SPECIES
Ru 101.07 Ru.upf
Tc 98.00 Tc.upf
Mn 54.94 Mn.upf
ATOMIC_POSITIONS crystal
Ru 0.500 0.500 0.500
Tc 0.500 0.000 0.000
Tc 0.000 0.000 0.500
Mn 0.000 0.000 0.000
Tc 0.000 0.500 0.000
CELL_PARAMETERS angstrom
4.334 0.000 0.000
0.000 4.334 0.000
0.000 0.000 4.334
```

=====

7.
MnTcRu4 | GGA-PBE | optimized geometry Values from VASP.

Values from the calculation:
Energy of formation from the pure elements = 476.1 meV per atom
Space-group type = F-43m
Polymorph energy (0 for the lowest one) = 390 meV/atom
Crystal system = cubic

```
&SYSTEM
  ibrav = 0, nat = 6, ntyp = 3
/
ATOMIC_SPECIES
Mn 54.94 Mn.upf
Ru 101.07 Ru.upf
Tc 98.00 Tc.upf
ATOMIC_POSITIONS crystal
Mn 0.000 0.000 0.000
Ru 0.876 0.375 0.375
Tc 0.750 0.750 0.750
Ru 0.375 0.375 0.876
Ru 0.375 0.876 0.375
Ru 0.375 0.375 0.375
CELL_PARAMETERS angstrom
0.000 3.561 3.561
3.561 0.000 3.561
3.561 3.561 0.000
```

=====

8.
Mn8Tc3Ru | GGA-PBE | optimized geometry Values from VASP.

Values from the calculation:
Energy of formation from the pure elements = -57.9 meV per atom
Space-group type = P3m1
Crystal system = trigonal

```
&SYSTEM
  ibrav = 0, nat = 12, ntyp = 3
/
ATOMIC_SPECIES
Mn 54.94 Mn.upf
Ru 101.07 Ru.upf
Tc 98.00 Tc.upf
ATOMIC_POSITIONS crystal
Mn 0.507 0.493 0.749
Mn 0.333 0.667 0.500
Mn 0.682 0.841 0.250
Mn 0.159 0.841 0.250
Mn 0.159 0.318 0.250
Mn 0.333 0.667 0.001
Ru 0.000 0.000 0.569
Tc 0.000 0.000 0.931
Mn 0.507 0.015 0.749
Tc 0.667 0.333 0.068
Mn 0.985 0.493 0.749
Tc 0.667 0.333 0.433
CELL_PARAMETERS angstrom
4.663 0.000 0.000
-2.331 4.038 0.000
0.000 0.000 7.613
```

=====

9.
MnTcTeRu | GGA-PBE | optimized geometry Values from VASP.

Values from the calculation:
Formation energy (no corrections) = 0.122 eV/atom
Space-group type = F-43m
Crystal system = cubic

```
&SYSTEM
  ibrav = 0, nat = 4, ntyp = 4
/
ATOMIC_SPECIES
Te 127.60 Te.upf
Mn 54.94 Mn.upf
Tc 98.00 Tc.upf
Ru 101.07 Ru.upf
ATOMIC_POSITIONS crystal
Te 0.750 0.750 0.750
Mn 0.250 0.250 0.250
Tc 0.500 0.500 0.500
Ru 0.000 0.000 0.000
CELL_PARAMETERS angstrom
4.438 0.000 0.000
2.219 3.844 0.000
2.219 1.281 3.624
```

=====

10.
TiMnTcRu | GGA-PBE | optimized geometry Values from VASP.

Values from the calculation:
Energy of formation from the pure elements = -260.6 meV per atom
Space-group type = F-43m
Crystal system = cubic

```
&SYSTEM
  ibrav = 0, nat = 4, ntyp = 4
/
ATOMIC_SPECIES
Tc 98.00 Tc.upf
Ru 101.07 Ru.upf
Ti 47.87 Ti.upf
Mn 54.94 Mn.upf
ATOMIC_POSITIONS crystal
Tc 0.000 0.000 0.000
Ru 0.500 0.500 0.500
Ti 0.250 0.250 0.250
Mn 0.750 0.750 0.750
CELL_PARAMETERS angstrom
4.304 0.000 0.000
2.152 3.727 0.000
2.152 1.242 3.514
```

=====

11.
Mn2V5TcRu2 | GGA-PBE | optimized geometry Values from VASP.

Values from the calculation:
Energy of formation from the pure elements = 82.4 meV per atom
Space-group type = P4/mbm
Crystal system = tetragonal

```
&SYSTEM
  ibrav = 0, nat = 20, ntyp = 4
/
ATOMIC_SPECIES
V 50.94 V.upf
Tc 98.00 Tc.upf
Ru 101.07 Ru.upf
Mn 54.94 Mn.upf
ATOMIC_POSITIONS crystal
V 0.500 0.201 0.066
V 0.500 0.799 0.934
V 0.500 0.566 0.701
V 0.500 0.299 0.566
V 0.500 0.701 0.434
Tc 0.000 0.500 0.500
Ru 0.000 0.830 0.670
Ru 0.000 0.170 0.330
V 0.500 0.934 0.201
V 0.500 0.434 0.299
Mn 0.000 0.372 0.128
Mn 0.000 0.628 0.872
V 0.500 0.500 0.000
Ru 0.000 0.330 0.830
Ru 0.000 0.670 0.170
Mn 0.000 0.128 0.628
Mn 0.000 0.872 0.372
V 0.500 0.000 0.500
Tc 0.000 0.000 0.000
V 0.500 0.066 0.799
CELL_PARAMETERS angstrom
3.043 0.000 0.000
0.000 9.416 0.000
0.000 0.000 9.416
```

=====

12.
MnVTcRu | GGA-PBE | optimized geometry Values from VASP.

Values from the calculation:
Energy of formation from the pure elements = -138.3 meV per atom
Space-group type = F-43m
Crystal system = cubic

```
&SYSTEM
  ibrav = 0, nat = 4, ntyp = 4
/
ATOMIC_SPECIES
V 50.94 V.upf
Mn 54.94 Mn.upf
Ru 101.07 Ru.upf
Tc 98.00 Tc.upf
ATOMIC_POSITIONS crystal
V 0.000 0.000 0.000
Mn 0.500 0.500 0.500
Ru 0.750 0.750 0.750
Tc 0.250 0.250 0.250
CELL_PARAMETERS angstrom
-1.997 3.537 1.264
-0.374 0.864 4.148
2.219 3.198 1.715
```

=====

no.,M_tot (μB per atom)
1,0.90
2,0.29
3,0.12
4,0.71
5,0.37
6,0.00
7,0.60
8,0.01
9,0.97
10,0.62
11,0.00
12,0.79